No. 1
Below is a relaxed Mn2HIr crystal, with properties calculated at the GGA-PBEsol level.

Results
As for the calculated total energy: -7.96 eV/atom. Its space-group type is I-42d, No. 122.

Unit cell a=4.6651 b=4.6651 c=4.6651 alpha=105.02 beta=105.02 gamma=118.79
Fractional positions:
H: 0.7500 0.2500 0.5000
Mn: 0.1250 0.2279 0.6029
Mn: 0.6250 0.5221 0.3971
H: 0.5000 0.5000 0.0000
Mn: 0.7721 0.3750 0.8971
Ir: 0.2500 0.7500 0.5000
Ir: 0.0000 0.0000 0.0000
Mn: 0.4779 0.8750 0.1029

No. 2
Below is a relaxed MnH2Ir crystal, with properties calculated at the GGA-PBEsol level.

Results
As for the calculated total energy: -6.02 eV/atom. Its space-group type is Fm-3m, No. 225.

Unit cell a=3.6256 b=3.6256 c=3.6256 alpha=60.00 beta=60.00 gamma=60.00
Fractional positions:
Ir: 0.5000 0.5000 0.5000
H: 0.2500 0.2500 0.2500
H: 0.7500 0.7500 0.7500
Mn: 0.0000 0.0000 0.0000

- Among the records above, which one has the lowest calculated total energy?
  Mn2HIr